## NiSn6Rh3 (GGA-PBE)

Data for a relaxed NiSn6Rh3 crystal.

Final energy = -5.493 eV per atom
Spin magnetization = 0.0 μB per formula unit
V = 20.38 Å³ per atom
Space-group type = P2_1/c, No. 14
Density of states at the Fermi level = 9.4 states/eV per cell
Formation energy = -0.307 eV per atom

Cell and atoms, written as POSCAR:
```
NiSn6Rh3
1.0
-4.205 -5.470 -1.072
4.610 -2.811 -3.737
2.762 -4.808 7.024
Sn Rh Ni
12 6 2
direct
0.317 0.493 0.758
0.848 0.669 0.915
0.652 0.169 0.585
0.152 0.331 0.085
0.672 0.145 0.934
0.172 0.355 0.434
0.817 0.007 0.258
0.348 0.831 0.415
0.683 0.507 0.242
0.328 0.855 0.066
0.828 0.645 0.566
0.183 0.993 0.742
0.031 0.660 0.260
0.000 0.000 0.500
0.969 0.340 0.740
0.500 0.500 0.000
0.531 0.840 0.760
0.469 0.160 0.240
0.000 0.000 0.000
0.500 0.500 0.500
```